1.
This record from Alexandria via LeMat-Bulk describes Li2Mg3RhPb3 after structural relaxation. The functional is PBE.

Geometry as CIF:
```
data_Li2Mg3RhPb3
_chemical_formula_sum 'Li2 Mg3 Rh1 Pb3'
_space_group_name_H-M_alt 'P -6 2 m'
_space_group_IT_number 189
_space_group_name_Hall 'P -6 -2'
_cell_length_a 8.0853
_cell_length_b 8.0853
_cell_length_c 3.3979
_cell_angle_alpha 90.00
_cell_angle_beta 90.00
_cell_angle_gamma 120.00
loop_
_atom_site_label
_atom_site_fract_x
_atom_site_fract_y
_atom_site_fract_z
Li1 0.3333 0.6667 0.0000
Mg1 0.0000 0.2522 0.0000
Rh1 0.0000 0.0000 0.5000
Pb1 0.0000 0.6168 0.5000
```

energy of formation from the pure elements: -0.23 eV per atom

***

2.
This record from Alexandria via LeMat-Bulk describes Na4TeH10Se2O16 after structural relaxation. The functional is PBE.

Geometry as CIF:
```
data_Na4TeH10Se2O16
_chemical_formula_sum 'Na8 Te2 H20 Se4 O32'
_space_group_name_H-M_alt 'P 1 21/c 1'
_space_group_IT_number 14
_cell_length_a 5.1618
_cell_length_b 13.8186
_cell_length_c 11.6077
_cell_angle_alpha 90.00
_cell_angle_beta 106.71
_cell_angle_gamma 90.00
loop_
_space_group_symop_operation_xyz
'x,y,z'
'-x,-y,-z'
'-x,y+1/2,-z+1/2'
'x,-y+1/2,z+1/2'
loop_
_atom_site_label
_atom_site_fract_x
_atom_site_fract_y
_atom_site_fract_z
Na1 0.1436 0.0532 0.1299
Na2 0.3114 0.6551 0.7616
Te1 0.5000 0.0000 0.5000
H1 0.2594 0.2297 0.2162
H2 0.2852 0.5482 0.2635
H3 0.3581 0.5786 0.4047
H4 0.4579 0.0806 0.9110
H5 0.4877 0.1694 0.3138
Se1 0.0112 0.1811 0.5051
O1 0.0319 0.7179 0.8651
O2 0.1584 0.6102 0.5616
O3 0.2606 0.0056 0.3480
O4 0.2744 0.6049 0.0595
O5 0.2963 0.1018 0.5705
O6 0.2978 0.5244 0.3440
O7 0.4254 0.6315 0.5385
O8 0.4372 0.1965 0.2320
```

***

3.
This record from Alexandria via LeMat-Bulk describes Ca2TcW after structural relaxation. The functional is PBE.

Geometry as CIF:
```
data_Ca2TcW
_chemical_formula_sum 'Ca4 Tc2 W2'
_space_group_name_H-M_alt 'C 1 2/m 1'
_space_group_IT_number 12
_cell_length_a 5.5730
_cell_length_b 10.2355
_cell_length_c 2.7954
_cell_angle_alpha 90.00
_cell_angle_beta 90.21
_cell_angle_gamma 90.00
loop_
_space_group_symop_operation_xyz
'x,y,z'
'-x,-y,-z'
'-x,y,-z'
'x,-y,z'
'x+1/2,y+1/2,z'
'-x+1/2,-y+1/2,-z'
'-x+1/2,y+1/2,-z'
'x+1/2,-y+1/2,z'
loop_
_atom_site_label
_atom_site_fract_x
_atom_site_fract_y
_atom_site_fract_z
Ca1 0.2500 0.2500 0.0000
Tc1 0.0000 0.0000 0.5000
W1 0.0000 0.5000 0.5000
```

energy of formation from the pure elements: 0.84 eV per atom

***

4.
This record from Alexandria via LeMat-Bulk describes PaNb4 after structural relaxation. The functional is PBE.

Geometry as CIF:
```
data_PaNb4
_chemical_formula_sum 'Pa1 Nb4'
_space_group_name_H-M_alt 'P m -3 m'
_space_group_IT_number 221
_space_group_name_Hall '-P 4 2 3'
_cell_length_a 4.9092
_cell_length_b 4.9092
_cell_length_c 4.9092
_cell_angle_alpha 90.00
_cell_angle_beta 90.00
_cell_angle_gamma 90.00
loop_
_atom_site_label
_atom_site_fract_x
_atom_site_fract_y
_atom_site_fract_z
Pa1 0.0000 0.0000 0.0000
Nb1 0.0000 0.0000 0.5000
Nb2 0.5000 0.5000 0.5000
```

energy of formation from the pure elements: 1.53 eV per atom

***

5.
This record from Alexandria via LeMat-Bulk describes ZrCoRh2 after structural relaxation. The functional is PBE.

Geometry as CIF:
```
data_ZrCoRh2
_chemical_formula_sum 'Zr2 Co2 Rh4'
_space_group_name_H-M_alt 'I 4/m m m'
_space_group_IT_number 139
_space_group_name_Hall '-I 4 2'
_cell_length_a 4.0190
_cell_length_b 4.0190
_cell_length_c 7.5275
_cell_angle_alpha 90.00
_cell_angle_beta 90.00
_cell_angle_gamma 90.00
loop_
_atom_site_label
_atom_site_fract_x
_atom_site_fract_y
_atom_site_fract_z
Zr1 0.0000 0.0000 0.0000
Co1 0.0000 0.0000 0.5000
Rh1 0.0000 0.5000 0.2500
```

energy of formation from the pure elements: -0.41 eV per atom

***

6.
This record from Alexandria via LeMat-Bulk describes Pm2YGe3Pt4 after structural relaxation. The functional is PBE.

Geometry as CIF:
```
data_Pm2YGe3Pt4
_chemical_formula_sum 'Pm2 Y1 Ge3 Pt4'
_space_group_name_H-M_alt 'P -4 m 2'
_space_group_IT_number 115
_cell_length_a 4.2961
_cell_length_b 4.2961
_cell_length_c 11.2360
_cell_angle_alpha 90.00
_cell_angle_beta 90.00
_cell_angle_gamma 90.00
loop_
_space_group_symop_operation_xyz
'x,y,z'
'y,-x,-z'
'-x,-y,z'
'-y,x,-z'
'-x,y,z'
'-y,-x,-z'
'x,-y,z'
'y,x,-z'
loop_
_atom_site_label
_atom_site_fract_x
_atom_site_fract_y
_atom_site_fract_z
Pm1 0.0000 0.5000 0.2208
Y1 0.0000 0.0000 0.5000
Ge1 0.0000 0.5000 0.8770
Ge2 0.5000 0.5000 0.5000
Pt1 0.0000 0.0000 0.0000
Pt2 0.0000 0.5000 0.6585
Pt3 0.5000 0.5000 0.0000
```

energy of formation from the pure elements: -0.96 eV per atom

***

What are the magnetic moment values for these records? In order: 0.0; 0.0; 0.0; 0.0; 3.9; 0.0 μB per cell.
What are the mass density values for these records? In order: 7.00; 2.70; 7.54; 8.46; 9.72; 11.03 g/cm3.
What are the energy values for these records? In order: -29.14; -321.43; -47.95; -42.11; -63.99; -63.55 eV for the cell shown.